Below is a relaxed Dy4HPd2 crystal, with properties calculated at the PBE-GGA level.

Cell lengths 7.888, 7.888, 7.888 Å; angles 145.39, 145.39, 49.76 degrees
Fractional positions:
Dy  0.000  0.500  0.500
Dy  0.187  0.187  0.000
Dy  0.500  0.000  0.500
Dy  0.813  0.813  0.000
H  0.000  0.000  0.000
Pd  0.376  0.376  0.000
Pd  0.624  0.624  0.000

Energy, eV/atom: -5.13
Symmetry: I4/mmm
D(E_F), states/eV per atom: 1.087

=====

Below is a relaxed PuScRu2 crystal, with properties calculated at the PBE-GGA level.

Cell lengths 4.650, 4.650, 3.304 Å; angles 90.00, 90.00, 90.00 degrees
Fractional positions:
Pu  0.000  0.000  0.000
Sc  0.500  0.500  0.000
Ru  0.000  0.500  0.500
Ru  0.500  0.000  0.500

Formation energy from the elements, meV per atom: -374.3
Symmetry: P4/mmm
D(E_F), states/eV per atom: 1.398

=====

Below is a relaxed DyErCo2 crystal, with properties calculated at the PBE-GGA level.

Cell lengths 3.848, 5.502, 7.445 Å; angles 90.00, 90.00, 90.00 degrees
Fractional positions:
Dy  0.000  0.134  0.000
Dy  0.000  0.866  0.500
Er  0.500  0.367  0.644
Er  0.500  0.633  0.144
Co  0.000  0.353  0.351
Co  0.000  0.647  0.851
Co  0.500  0.152  0.295
Co  0.500  0.848  0.795

Formation energy from the elements, meV per atom: -224.4
ΔE to the lowest computed polymorph, eV/atom: 0.000
Symmetry: Pmc2_1
D(E_F), states/eV per atom: 1.067

=====

Below is a relaxed Ho3TmAu3 crystal, with properties calculated at the PBE-GGA level.

Cell lengths 7.139, 7.139, 7.054 Å; angles 95.05, 95.05, 87.81 degrees
Fractional positions:
Ho  0.199  0.801  0.000
Ho  0.276  0.724  0.500
Ho  0.306  0.306  0.004
Ho  0.694  0.694  0.996
Ho  0.724  0.276  0.500
Ho  0.801  0.199  0.000
Tm  0.237  0.237  0.475
Tm  0.763  0.763  0.525
Au  0.001  0.493  0.758
Au  0.042  0.042  0.713
Au  0.493  0.001  0.758
Au  0.507  0.999  0.242
Au  0.958  0.958  0.287
Au  0.999  0.507  0.242

Formation energy from the elements, meV per atom: -664.7
Symmetry: C2/m
D(E_F), states/eV per atom: 0.650

=====

Below is a relaxed Rb2B4S5 crystal, with properties calculated at the PBE-GGA level.

Cell lengths 5.022, 5.022, 12.872 Å; angles 103.37, 103.37, 72.12 degrees
Fractional positions:
Rb  0.088  0.088  0.371
Rb  0.912  0.912  0.629
B  0.241  0.241  0.063
B  0.262  0.262  0.938
B  0.738  0.738  0.062
B  0.759  0.759  0.937
S  0.023  0.523  0.858
S  0.477  0.977  0.142
S  0.500  0.500  0.500
S  0.523  0.023  0.858
S  0.977  0.477  0.142

Formation energy (no corrections), eV/atom: -0.484
Symmetry: C2/m
D(E_F), states/eV per atom: 0.549

=====

Below is a relaxed Ho4TmS5 crystal, with properties calculated at the PBE-GGA level.

Cell lengths 10.255, 10.255, 10.255 Å; angles 158.19, 149.06, 38.17 degrees
Fractional positions:
Ho  0.100  0.100  0.000
Ho  0.300  0.300  0.000
Ho  0.700  0.700  0.000
Ho  0.900  0.900  0.000
Tm  0.500  0.500  0.000
S  0.000  0.500  0.500
S  0.200  0.700  0.500
S  0.401  0.901  0.500
S  0.599  0.099  0.500
S  0.800  0.300  0.500

Formation energy (no corrections), eV/atom: -1.961
Symmetry: Immm
D(E_F), states/eV per atom: 0.432

=====

Below is a relaxed PPt2W crystal, with properties calculated at the PBE-GGA level.

Cell lengths 4.409, 4.409, 4.409 Å; angles 60.00, 60.00, 60.00 degrees
Fractional positions:
P  0.000  0.000  0.000
Pt  0.250  0.250  0.250
Pt  0.500  0.500  0.500
W  0.750  0.750  0.750

Formation energy from the elements, meV per atom: 54.2
Symmetry: F-43m
D(E_F), states/eV per atom: 0.782

=====

Below is a relaxed NaSrSeN2 crystal, with properties calculated at the PBE-GGA level.

Cell lengths 4.570, 4.570, 5.421 Å; angles 90.00, 90.00, 90.00 degrees
Fractional positions:
Na  0.000  0.000  0.000
Sr  0.500  0.500  0.500
Se  0.000  0.000  0.500
N  0.000  0.500  0.000
N  0.500  0.000  0.000

ΔE to the lowest computed polymorph, eV/atom: 0.000
Formation energy (no corrections), eV/atom: 0.840
Symmetry: P4/mmm
D(E_F), states/eV per atom: 0.310

=====

Below is a relaxed NaZr2Ni crystal, with properties calculated at the PBE-GGA level.

Cell lengths 6.147, 6.147, 6.147 Å; angles 103.22, 103.22, 122.87 degrees
Fractional positions:
Na  0.000  0.000  0.000
Na  0.750  0.250  0.500
Zr  0.182  0.625  0.057
Zr  0.375  0.432  0.557
Zr  0.568  0.125  0.943
Zr  0.875  0.818  0.443
Ni  0.250  0.750  0.500
Ni  0.500  0.500  0.000

Formation energy from the elements, meV per atom: 422.4
ΔE to the lowest computed polymorph, eV/atom: 0.056
Symmetry: I-42d
D(E_F), states/eV per atom: 1.359

=====

Below is a relaxed CdPbC2O6 crystal, with properties calculated at the PBE-GGA level.

Cell lengths 6.599, 6.599, 6.599 Å; angles 46.08, 46.08, 46.08 degrees
Fractional positions:
Cd  0.000  0.000  0.000
Pb  0.500  0.500  0.500
C  0.256  0.256  0.256
C  0.744  0.744  0.744
O  0.018  0.519  0.229
O  0.229  0.018  0.519
O  0.481  0.771  0.982
O  0.519  0.229  0.018
O  0.771  0.982  0.481
O  0.982  0.481  0.771

Formation energy (no corrections), eV/atom: -1.361
Symmetry: R-3
D(E_F), states/eV per atom: 0.000